Entry 1:
HfBe2CoAg: optimized geometry, GGA-PBE.

abc: 4.1713 4.5243 4.1713
angles: 90.00 90.00 90.00
Sites, in units of the cell vectors:
Co: 0.0000 0.0000 0.0000
Hf: 0.0000 0.5000 0.0000
Ag: 0.5000 0.5000 0.5000
Be: 0.0000 0.0000 0.5000
Be: 0.5000 0.0000 0.0000

Properties
E_tot = -5.1314 eV per atom

=====

Entry 2:
Sr2Tl4Pd5: optimized geometry, GGA-PBE.

abc: 6.0220 5.9448 9.1604
angles: 80.42 70.81 59.57
Sites, in units of the cell vectors:
Sr: 0.8804 0.0000 0.2392
Sr: 0.1196 0.0000 0.7608
Tl: 0.4696 0.3195 0.7413
Tl: 0.5304 0.6805 0.2587
Tl: 0.2109 0.3195 0.2587
Tl: 0.7891 0.6805 0.7413
Pd: 0.5000 0.0000 0.0000
Pd: 0.0000 0.5000 0.0000
Pd: 0.5000 0.5000 0.0000
Pd: 0.2500 0.5000 0.5000
Pd: 0.7500 0.5000 0.5000

Properties
E_tot = -3.9017 eV per atom

=====

Entry 3:
BaVCl3: optimized geometry, GGA-PBE.

abc: 5.9625 5.9625 5.9625
angles: 90.00 90.00 90.00
Sites, in units of the cell vectors:
V: 0.5000 0.5000 0.5000
Ba: 0.0000 0.0000 0.0000
Cl: 0.0000 0.5000 0.0000
Cl: 0.0000 0.0000 0.5000
Cl: 0.5000 0.0000 0.0000

Properties
raw formation energy = -795.9 meV per atom
ΔE to the lowest computed polymorph = 598 meV per atom

=====

Entry 4:
AgMoIr2: optimized geometry, GGA-PBE.

abc: 9.3868 9.3868 9.3868
angles: 17.14 17.14 17.14
Sites, in units of the cell vectors:
Ag: 0.7500 0.7500 0.7500
Ir: 0.9940 0.9940 0.9940
Ir: 0.5060 0.5060 0.5060
Mo: 0.2500 0.2500 0.2500

Properties
ΔE to the lowest computed polymorph = 0 meV per atom

=====

Entry 5:
CrBr: optimized geometry, GGA-PBE.

abc: 3.2633 3.2633 8.2353
angles: 90.00 90.00 90.00
Sites, in units of the cell vectors:
Br: 0.2500 0.2500 0.2299
Br: 0.7500 0.7500 0.7701
Cr: 0.2500 0.2500 0.5942
Cr: 0.7500 0.7500 0.4058

Properties
raw formation energy = 254.2 meV per atom

=====

Entry 6:
NpU2P: optimized geometry, GGA-PBE.

abc: 3.6870 5.5260 7.7156
angles: 72.69 90.00 90.00
Sites, in units of the cell vectors:
Np: 0.0383 0.3489 0.5031
Np: 0.5383 0.8982 0.8903
U: 0.0383 0.8847 0.6468
U: 0.5382 0.3294 0.2811
U: 0.0383 0.9177 0.1123
U: 0.5382 0.3624 0.7467
P: 0.0382 0.4768 0.9913
P: 0.5383 0.7702 0.4022

Properties
ΔE to the lowest computed polymorph = 0 meV per atom

=====

Entry 7:
Mn2BeAs: optimized geometry, GGA-PBE.

abc: 2.7079 2.7080 7.5384
angles: 90.00 90.00 90.00
Sites, in units of the cell vectors:
Be: 0.5000 0.5000 0.8511
As: 0.0000 0.0000 0.4276
Mn: 0.0000 0.0000 0.0156
Mn: 0.5000 0.5000 0.2057

Properties
ΔE to the lowest computed polymorph = 166 meV per atom

=====

Entry 8:
SnHPb2: optimized geometry, GGA-PBE.

abc: 6.0005 6.0005 7.5297
angles: 66.52 66.52 90.00
Sites, in units of the cell vectors:
Pb: 0.5081 0.1250 0.2500
Pb: 0.2419 0.6250 0.2500
Pb: 0.3750 0.4919 0.7500
Pb: 0.8750 0.7581 0.7500
H: 0.5000 0.5000 0.0000
H: 0.2500 0.7500 0.5000
Sn: 0.0000 0.0000 0.0000
Sn: 0.7500 0.2500 0.5000

Properties
ΔE to the lowest computed polymorph = 0 meV per atom

=====

Entry 9:
TaGa3Sn: optimized geometry, GGA-PBE.

abc: 5.0797 5.0797 5.0797
angles: 90.00 90.00 90.00
Sites, in units of the cell vectors:
Sn: 0.0000 0.0000 0.0000
Ga: 0.0000 0.5000 0.0000
Ga: 0.0000 0.0000 0.5000
Ga: 0.5000 0.0000 0.0000
Ta: 0.5000 0.5000 0.5000

Properties
ΔE to the lowest computed polymorph = 947 meV per atom

=====

Entry 10:
ScSI2: optimized geometry, GGA-PBE.

abc: 5.2216 5.2216 5.2216
angles: 60.00 60.00 60.00
Sites, in units of the cell vectors:
I: 0.2500 0.2500 0.2500
I: 0.7500 0.7500 0.7500
Sc: 0.5000 0.5000 0.5000
S: 0.0000 0.0000 0.0000

Properties
raw formation energy = -194.2 meV per atom
ΔE to the lowest computed polymorph = 646 meV per atom

=====

Entry 11:
Y2SnRu: optimized geometry, GGA-PBE.

abc: 4.4689 5.0479 9.3382
angles: 90.00 103.84 90.00
Sites, in units of the cell vectors:
Y: 0.2645 0.2500 0.5296
Y: 0.7355 0.7500 0.4704
Y: 0.9220 0.2500 0.8439
Y: 0.0780 0.7500 0.1561
Sn: 0.6355 0.2500 0.2688
Sn: 0.3645 0.7500 0.7312
Ru: 0.5000 0.0000 0.0000
Ru: 0.5000 0.5000 0.0000

Properties
E_tot = -6.8927 eV per atom

=====

Entry 12:
MnIrSe2Br: optimized geometry, GGA-PBE.

abc: 4.9258 4.9258 5.0937
angles: 90.00 90.00 90.00
Sites, in units of the cell vectors:
Mn: 0.5000 0.5000 0.5000
Ir: 0.0000 0.0000 0.0000
Se: 0.0000 0.5000 0.0000
Se: 0.5000 0.0000 0.0000
Br: 0.0000 0.0000 0.5000

Properties
raw formation energy = 550.0 meV per atom
ΔE to the lowest computed polymorph = 0 meV per atom